Record 1
VASP calculation (PBE) on a relaxed structure of Cs5Ge4Pb2.

```
11
Lattice="6.7790 -3.8339 0.0000 6.7790 3.8339 0.0000 -4.6057 0.0000 9.2568" Properties=species:S:1:pos:R:3 pbc="T T T"
Cs 0.0000 0.0000 0.0000
Cs 2.8200 1.8608 5.8901
Cs 6.1324 1.8608 3.3667
Cs 2.8200 -1.8608 5.8901
Cs 6.1324 -1.8608 3.3667
Ge 3.6548 0.0000 0.5644
Ge 2.7185 0.0000 2.6901
Ge 6.2339 0.0000 6.5668
Ge 5.2976 0.0000 8.6925
Pb -0.6537 0.0000 7.1621
Pb 9.6061 0.0000 2.0947
```

Properties
Energy of formation   0.11 eV/atom
Magnetization   0.0 μB/f.u.


Record 2
VASP calculation (PBE) on a relaxed structure of CsGe2Pb.

```
4
Lattice="0.0000 3.9037 3.9037 3.9037 0.0000 3.9037 3.9037 3.9037 0.0000" Properties=species:S:1:pos:R:3 pbc="T T T"
Cs 0.0000 0.0000 0.0000
Ge 1.9518 1.9518 1.9518
Ge 5.8555 5.8555 5.8555
Pb 3.9037 3.9037 3.9037
```

Properties
Energy of formation   0.41 eV/atom
Energy relative to the lowest polymorph listed for this composition   235 meV per atom
Magnetization   0.0 μB/f.u.


Record 3
VASP calculation (PBE) on a relaxed structure of Cs2Ge2Pb.

```
10
Lattice="7.6815 0.0000 0.0000 0.0000 7.6815 0.0000 0.0000 0.0000 6.2770" Properties=species:S:1:pos:R:3 pbc="T T T"
Cs 1.4740 2.3667 0.0000
Cs 2.3667 6.2075 0.0000
Cs 5.3148 1.4740 0.0000
Cs 6.2075 5.3148 0.0000
Ge 0.8629 4.7037 3.1385
Ge 2.9779 0.8629 3.1385
Ge 4.7037 6.8186 3.1385
Ge 6.8186 2.9779 3.1385
Pb 0.0000 0.0000 3.1385
Pb 3.8408 3.8408 3.1385
```

Properties
Energy of formation   0.01 eV/atom
Magnetization   0.0 μB/f.u.


Record 4
VASP calculation (PBE) on a relaxed structure of Cs2GePb2.

```
10
Lattice="7.3819 -3.7849 0.0000 7.3819 3.7849 0.0000 -6.9301 0.0000 8.5674" Properties=species:S:1:pos:R:3 pbc="T T T"
Cs -1.3712 0.0000 3.2715
Cs 2.6166 0.0000 0.8125
Cs 5.2171 0.0000 7.7549
Cs 9.2050 0.0000 5.2959
Ge 1.5860 0.0000 7.1509
Ge 6.2478 0.0000 1.4165
Pb -1.1546 0.0000 7.1439
Pb 2.4090 0.0000 4.5137
Pb 5.4247 0.0000 4.0537
Pb 8.9884 0.0000 1.4235
```

Properties
Energy of formation   -0.01 eV/atom
Energy relative to the lowest polymorph listed for this composition   0 meV per atom
Magnetization   0.0 μB/f.u.


Record 5
VASP calculation (PBE) on a relaxed structure of CsGe2Pb2.

```
5
Lattice="-2.5314 2.5314 6.5848 2.5314 -2.5314 6.5848 2.5314 2.5314 -6.5848" Properties=species:S:1:pos:R:3 pbc="T T T"
Cs 0.0000 0.0000 0.0000
Ge 2.5314 0.0000 3.2924
Ge 0.0000 2.5314 3.2924
Pb 0.0000 0.0000 4.8329
Pb 0.0000 0.0000 8.3367
```

Properties
Energy of formation   0.01 eV/atom
Energy relative to the lowest polymorph listed for this composition   38 meV per atom
Magnetization   0.0 μB/f.u.


Record 6
VASP calculation (PBE) on a relaxed structure of CsGe2Pb2.

```
5
Lattice="-2.5713 2.5713 6.1398 2.5713 -2.5713 6.1398 2.5713 2.5713 -6.1398" Properties=species:S:1:pos:R:3 pbc="T T T"
Cs 0.0000 0.0000 0.0000
Ge 0.0000 0.0000 4.7453
Ge 0.0000 0.0000 7.5343
Pb 2.5713 0.0000 3.0699
Pb 0.0000 2.5713 3.0699
```

Properties
Energy of formation   -0.02 eV/atom
Energy relative to the lowest polymorph listed for this composition   0 meV per atom
Magnetization   0.0 μB/f.u.


Record 7
VASP calculation (PBE) on a relaxed structure of CsGePtPb.

```
4
Lattice="2.1296 1.2295 7.9451 -2.1296 1.2295 7.9451 0.0000 -2.4591 7.9451" Properties=species:S:1:pos:R:3 pbc="T T T"
Cs 0.0000 0.0000 0.0000
Ge 0.0000 0.0000 13.1821
Pt 0.0000 0.0000 4.7414
Pb 0.0000 0.0000 19.0241
```

Properties
Energy of formation   -0.34 eV/atom
Magnetization   0.0 μB/f.u.


Record 8
VASP calculation (PBE) on a relaxed structure of Cs2GePbS4.

```
16
Lattice="9.5392 0.0000 0.0000 0.0000 9.2533 0.0000 0.0000 0.0000 6.9000" Properties=species:S:1:pos:R:3 pbc="T T T"
Cs 2.2990 1.5184 0.0000
Cs 2.4706 7.7349 3.4500
Cs 7.0686 7.7349 3.4500
Cs 7.2403 1.5184 0.0000
Ge 0.0000 6.0126 0.3235
Ge 4.7696 3.2407 3.7735
Pb 0.0000 3.2798 3.6148
Pb 4.7696 5.9735 0.1648
S 0.0000 3.9587 6.2586
S 0.0000 5.6925 2.5871
S 1.8654 7.1723 6.8212
S 2.9042 2.0810 3.3712
S 4.7696 3.5608 6.0371
S 4.7696 5.2946 2.8086
S 6.6350 2.0810 3.3712
S 7.6738 7.1723 6.8212
```

Properties
Formation energy (no corrections)   -0.76 eV per atom
Magnetization   0.0 μB/f.u.


Record 9
VASP calculation (PBE) on a relaxed structure of Cs2Ge2PbSe6.

```
11
Lattice="3.8353 2.2143 8.5657 -3.8353 2.2143 8.5657 0.0000 -4.4286 8.5657" Properties=species:S:1:pos:R:3 pbc="T T T"
Cs 0.0000 0.0000 5.6544
Cs 0.0000 0.0000 20.0426
Ge 0.0000 0.0000 10.6255
Ge 0.0000 0.0000 15.0715
Pb 0.0000 0.0000 0.0000
Se -1.9794 -1.1428 14.9124
Se 0.0000 -2.2857 10.7846
Se -1.9794 1.1428 10.7846
Se 1.9794 -1.1428 14.9124
Se 0.0000 2.2857 14.9124
Se 1.9794 1.1428 10.7846
```

Properties
Formation energy (no corrections)   -0.56 eV per atom
Magnetization   0.0 μB/f.u.


Record 10
VASP calculation (PBE) on a relaxed structure of Cs2GePbSe4.

```
16
Lattice="0.0000 7.4211 13.0802 3.4615 0.0000 13.0802 3.4615 7.4211 0.0000" Properties=species:S:1:pos:R:3 pbc="T T T"
Cs 2.5962 5.5658 1.5008
Cs 4.3269 9.2764 8.0409
Cs 2.5962 5.5658 18.1195
Cs 4.3269 9.2764 24.6596
Ge 2.5962 5.5658 9.8101
Ge 4.3269 9.2764 16.3502
Pb 0.8654 1.8553 3.2700
Pb 6.0577 12.9869 22.8903
Se 3.9150 4.1180 8.4093
Se 3.9150 7.0137 11.2110
Se 5.6458 7.8285 17.7511
Se 5.6458 10.7242 14.9494
Se 1.2773 4.1180 11.2110
Se 1.2773 7.0137 8.4093
Se 3.0081 7.8285 14.9494
Se 3.0081 10.7242 17.7511
```

Properties
Formation energy (no corrections)   -0.73 eV per atom
Magnetization   0.0 μB/f.u.


Record 11
VASP calculation (PBE) on a relaxed structure of CsGeTe3Pb.

```
12
Lattice="9.6828 0.0000 0.0000 0.0000 5.0706 0.0000 -3.3010 0.0000 9.8586" Properties=species:S:1:pos:R:3 pbc="T T T"
Cs 1.6094 1.2677 2.1940
Cs 4.7724 3.8030 7.6646
Ge 0.9415 1.2677 8.6239
Ge 5.4403 3.8030 1.2347
Te -2.0607 1.2677 6.9260
Te -0.0286 3.8030 9.2975
Te 2.0845 1.2677 6.2560
Te 4.2973 3.8030 3.6026
Te 6.4104 1.2677 0.5611
Te 8.4425 3.8030 2.9326
Pb -0.2622 3.8030 5.9121
Pb 6.6440 1.2677 3.9465
```

Properties
Formation energy (no corrections)   -0.45 eV per atom
Magnetization   0.0 μB/f.u.


Record 12
VASP calculation (PBE) on a relaxed structure of CsZr2GePb.

```
5
Lattice="5.3479 0.0000 0.0000 0.0000 5.3479 0.0000 0.0000 0.0000 5.5870" Properties=species:S:1:pos:R:3 pbc="T T T"
Cs 0.0000 0.0000 0.0000
Zr 0.0000 2.6740 0.0000
Zr 2.6740 0.0000 0.0000
Ge 0.0000 0.0000 2.7935
Pb 2.6740 2.6740 2.7935
```

Properties
Energy of formation   1.86 eV/atom
Magnetization   0.0 μB/f.u.


Record 13
VASP calculation (PBE) on a relaxed structure of CsGe2Pd.

```
4
Lattice="2.1570 1.2453 6.9373 -2.1570 1.2453 6.9373 0.0000 -2.4907 6.9373" Properties=species:S:1:pos:R:3 pbc="T T T"
Cs 0.0000 0.0000 0.0000
Ge 0.0000 0.0000 4.1891
Ge 0.0000 0.0000 16.6227
Pd 0.0000 0.0000 10.4059
```

Properties
Energy of formation   -0.27 eV/atom
Energy relative to the lowest polymorph listed for this composition   0 meV per atom
Magnetization   0.0 μB/f.u.


Record 14
VASP calculation (PBE) on a relaxed structure of CsGe2Pd.

```
4
Lattice="3.4458 0.0000 0.0000 0.0000 3.4458 0.0000 0.0000 0.0000 8.2804" Properties=species:S:1:pos:R:3 pbc="T T T"
Cs 0.0000 0.0000 0.0000
Ge 1.7229 1.7229 2.8392
Ge 1.7229 1.7229 5.4412
Pd 0.0000 0.0000 4.1402
```

Properties
Energy of formation   -0.10 eV/atom
Energy relative to the lowest polymorph listed for this composition   166 meV per atom
Magnetization   0.0 μB/f.u.


Record 15
VASP calculation (PBE) on a relaxed structure of CsGePd.

```
3
Lattice="4.2486 0.0000 0.0000 -2.1243 3.6794 0.0000 0.0000 0.0000 6.1073" Properties=species:S:1:pos:R:3 pbc="T T T"
Cs 0.0000 0.0000 0.0000
Ge 0.0000 2.4529 3.0481
Pd 2.1243 1.2265 3.0543
```

Properties
Energy of formation   -0.15 eV/atom
Energy relative to the lowest polymorph listed for this composition   205 meV per atom
Magnetization   0.0 μB/f.u.


Record 16
VASP calculation (PBE) on a relaxed structure of CsGe3Pd3.

```
14
Lattice="7.0275 0.0000 0.0000 0.0000 7.0275 0.0000 0.0000 0.0000 7.0275" Properties=species:S:1:pos:R:3 pbc="T T T"
Cs 0.0000 0.0000 0.0000
Cs 3.5137 3.5137 3.5137
Ge 0.0000 1.7569 3.5137
Ge 0.0000 5.2706 3.5137
Ge 1.7569 3.5137 0.0000
Ge 3.5137 0.0000 1.7569
Ge 3.5137 0.0000 5.2706
Ge 5.2706 3.5137 0.0000
Pd 0.0000 3.5137 1.7569
Pd 0.0000 3.5137 5.2706
Pd 1.7569 0.0000 3.5137
Pd 3.5137 1.7569 0.0000
Pd 3.5137 5.2706 0.0000
Pd 5.2706 0.0000 3.5137
```

Properties
Energy of formation   -0.22 eV/atom
Magnetization   0.0 μB/f.u.


Record 17
VASP calculation (PBE) on a relaxed structure of CsGe2Pd.

```
8
Lattice="-2.8365 2.8365 8.0159 2.8365 -2.8365 8.0159 2.8365 2.8365 -8.0159" Properties=species:S:1:pos:R:3 pbc="T T T"
Cs 2.8365 1.4182 2.0040
Cs 0.0000 1.4182 6.0119
Ge 0.0000 0.0000 0.0000
Ge 1.4182 1.4182 -4.0080
Ge 1.4182 -1.4182 4.0080
Ge 0.0000 2.8365 0.0000
Pd 2.8365 -1.4182 6.0119
Pd 0.0000 4.2547 2.0040
```

Properties
Energy of formation   -0.04 eV/atom
Energy relative to the lowest polymorph listed for this composition   230 meV per atom
Magnetization   0.0 μB/f.u.


Record 18
VASP calculation (PBE) on a relaxed structure of CsGePd.

```
6
Lattice="5.7580 0.0000 0.0000 -0.0007 6.0684 0.0000 -2.8728 -3.0058 5.9107" Properties=species:S:1:pos:R:3 pbc="T T T"
Cs -0.0002 0.0743 2.3560
Cs 2.8847 2.9883 3.5547
Ge 0.0057 -1.8316 5.7862
Ge 2.8788 4.8942 0.1245
Pd 1.3257 3.0343 0.0009
Pd 1.5588 0.0283 5.9098
```

Properties
Energy of formation   -0.15 eV/atom
Energy relative to the lowest polymorph listed for this composition   206 meV per atom
Magnetization   0.0 μB/f.u.


Record 19
VASP calculation (PBE) on a relaxed structure of CsGe2Pd.

```
4
Lattice="0.0000 3.6133 3.6133 3.6133 0.0000 3.6133 3.6133 3.6133 0.0000" Properties=species:S:1:pos:R:3 pbc="T T T"
Cs 0.0000 0.0000 0.0000
Ge 1.8066 1.8066 1.8066
Ge 5.4199 5.4199 5.4199
Pd 3.6133 3.6133 3.6133
```

Properties
Energy of formation   0.57 eV/atom
Energy relative to the lowest polymorph listed for this composition   834 meV per atom
Magnetization   0.0 μB/f.u.


Record 20
VASP calculation (PBE) on a relaxed structure of CsGe2Pd3.

```
12
Lattice="7.9879 -2.0493 0.0000 7.9879 2.0493 0.0000 -3.6318 0.0000 8.6618" Properties=species:S:1:pos:R:3 pbc="T T T"
Cs 2.1901 0.0000 0.5245
Cs 10.1539 0.0000 8.1372
Ge 0.6107 0.0000 5.4084
Ge 4.8042 0.0000 6.6442
Ge 7.5398 0.0000 2.0176
Ge 11.7334 0.0000 3.2533
Pd -0.7775 0.0000 3.3500
Pd 3.0639 0.0000 4.8189
Pd 5.2681 0.0000 3.0997
Pd 7.0759 0.0000 5.5620
Pd 9.2802 0.0000 3.8429
Pd 13.1215 0.0000 5.3118
```

Properties
Energy of formation   -0.37 eV/atom
Magnetization   0.0 μB/f.u.


In g cm⁻³, the density values for the records above are, in order, 4.73 6.77 5.54 5.22 6.81 7.08 8.09 3.67 4.15 4.26 5.46 6.19 5.71 6.50 5.43 6.41 4.95 5.02 6.77 7.00.